Material: AlTlFe2F2
Method: DFT, PBE+U
State: optimized geometry

Unit cell a=6.4216 b=6.4216 c=8.1740 alpha=75.99 beta=75.99 gamma=43.83
Closest atoms and distances in Å follow each position.
Sites, in units of the cell vectors:
Al (0.5000, 0.0000, 0.5000)  2 F 1.83
Al (0.0000, 0.5000, 0.0000)  2 F 1.83
Tl (0.2070, 0.7930, 0.2500)  6 F 2.92-3.00, 2 Fe 3.05
Tl (0.7930, 0.2070, 0.7500)  6 F 2.92-3.00, 2 Fe 3.05
Fe (0.4812, 0.9903, 0.8392)  3 Al 2.73-2.78, 3 Fe 2.74-2.78, 1 Tl 3.05, 1 F 3.05
Fe (0.5188, 0.0097, 0.1608)  3 Al 2.73-2.78, 3 Fe 2.74-2.78, 1 Tl 3.05, 1 F 3.05
Fe (0.0097, 0.5188, 0.6608)  3 Al 2.73-2.78, 3 Fe 2.74-2.78, 1 Tl 3.05, 1 F 3.05
Fe (0.9903, 0.4812, 0.3392)  3 Al 2.73-2.78, 3 Fe 2.74-2.78, 1 Tl 3.05, 1 F 3.05
F (0.6127, 0.2037, 0.4448)  1 Al 1.83
F (0.3873, 0.7963, 0.5552)  1 Al 1.83
F (0.7963, 0.3873, 0.0552)  1 Al 1.83
F (0.2037, 0.6127, 0.9448)  1 Al 1.83

Output
calculated volume = 18.78 Å³/atom
energy = -0.309 Ry/atom